Compound: NaAcSnAu
Source: Alexandria
Functional: PBE
Structure: optimized geometry

The energy relative to the elements comes out at -0.4923 eV per atom.

The structure belongs to space group F-43m (No. 216); the cell edges are 7.715, 7.715 and 7.715 Å and the angles 90.00°, 90.00° and 90.00°. Symmetry generates all atoms from Na at (0.000, 0.000, 0.000), Ac at (0.000, 0.000, 0.500), Sn at (0.250, 0.250, 0.250) and Au at (0.250, 0.250, 0.750).